Compound: SnBRh3
Source: Alexandria via LeMat-Bulk
Functional: PBE
Structure: optimized geometry

Unit cell a=5.338 b=5.338 c=5.602 alpha=90.00 beta=90.00 gamma=104.30
Fractional coordinates of all 10 atoms:
B  0.183  0.817  0.250
B  0.817  0.183  0.750
Rh  0.531  0.048  0.250
Rh  0.952  0.469  0.250
Rh  0.048  0.531  0.750
Rh  0.469  0.952  0.750
Rh  0.000  0.000  0.000
Rh  0.000  0.000  0.500
Sn  0.465  0.535  0.250
Sn  0.535  0.465  0.750

- space-group type = No. 63
- calculated formation energy (eV per atom) = 0.0851